VASP calculation (PBE-GGA) on a relaxed NdTl2Zn2Se4 crystal.

Calculated values
Spin magnetization: 0.00 μB per formula unit
Theoretical density: 6.68 g/cm3
SG: C2/m
Uncorrected energy: -33.18 eV per cell

Structure (CIF):
```
data_NdTl2Zn2Se4
_chemical_formula_sum 'Nd1 Tl2 Zn2 Se4'
_space_group_name_H-M_alt 'P 1'
_space_group_IT_number 1
_cell_length_a 4.105
_cell_length_b 8.208
_cell_length_c 7.950
_cell_angle_alpha 105.75
_cell_angle_beta 104.96
_cell_angle_gamma 90.00
loop_
_space_group_symop_operation_xyz
'x,y,z'
loop_
_atom_site_label
_atom_site_fract_x
_atom_site_fract_y
_atom_site_fract_z
Nd1 0.000 0.000 0.000
Tl1 0.131 0.531 0.261
Tl2 0.869 0.469 0.739
Zn1 0.670 0.975 0.339
Zn2 0.330 0.025 0.661
Se1 0.204 0.169 0.407
Se2 0.796 0.831 0.593
Se3 0.522 0.752 0.043
Se4 0.478 0.248 0.957
```


VASP calculation (PBE-GGA) on a relaxed BeInTc2 crystal.

Calculated values
Spin magnetization: 0.00 μB per formula unit
Theoretical density: 8.97 g/cm3
E_form: 32 kJ per mole of atoms
SG: R-3m
Uncorrected energy: -25.89 eV per cell

Structure (CIF):
```
data_BeInTc2
_chemical_formula_sum 'Be1 In1 Tc2'
_space_group_name_H-M_alt 'P 1'
_space_group_IT_number 1
_cell_length_a 7.478
_cell_length_b 7.478
_cell_length_c 7.478
_cell_angle_alpha 23.67
_cell_angle_beta 23.67
_cell_angle_gamma 23.67
loop_
_space_group_symop_operation_xyz
'x,y,z'
loop_
_atom_site_label
_atom_site_fract_x
_atom_site_fract_y
_atom_site_fract_z
Be1 0.250 0.250 0.250
Tc1 0.978 0.978 0.978
Tc2 0.522 0.522 0.522
In1 0.750 0.750 0.750
```


VASP calculation (PBE-GGA) on a relaxed ZrGa2C2 crystal.

Calculated values
Spin magnetization: 0.00 μB per formula unit
Theoretical density: 6.30 g/cm3
E_form: 44 kJ per mole of atoms
SG: I4/mmm
Uncorrected energy: -30.79 eV per cell

Structure (CIF):
```
data_ZrGa2C2
_chemical_formula_sum 'Zr1 Ga2 C2'
_space_group_name_H-M_alt 'P 1'
_space_group_IT_number 1
_cell_length_a 3.547
_cell_length_b 3.547
_cell_length_c 5.895
_cell_angle_alpha 72.49
_cell_angle_beta 72.49
_cell_angle_gamma 90.00
loop_
_space_group_symop_operation_xyz
'x,y,z'
loop_
_atom_site_label
_atom_site_fract_x
_atom_site_fract_y
_atom_site_fract_z
C1 0.437 0.437 0.126
C2 0.563 0.563 0.874
Ga1 0.750 0.250 0.500
Ga2 0.250 0.750 0.500
Zr1 0.000 0.000 0.000
```


VASP calculation (PBE-GGA) on a relaxed La8Tb2Ce crystal.

Calculated values
Spin magnetization: 0.00 μB per formula unit
Theoretical density: 6.72 g/cm3
E_form: 10 kJ per mole of atoms
SG: Immm
Uncorrected energy: -53.51 eV per cell

Structure (CIF):
```
data_La8Tb2Ce
_chemical_formula_sum 'La8 Tb2 Ce1'
_space_group_name_H-M_alt 'P 1'
_space_group_IT_number 1
_cell_length_a 5.801
_cell_length_b 8.197
_cell_length_c 9.576
_cell_angle_alpha 115.34
_cell_angle_beta 107.63
_cell_angle_gamma 90.00
loop_
_space_group_symop_operation_xyz
'x,y,z'
loop_
_atom_site_label
_atom_site_fract_x
_atom_site_fract_y
_atom_site_fract_z
La1 0.632 0.841 0.263
La2 0.368 0.577 0.737
La3 0.161 0.161 0.321
La4 0.000 0.281 0.000
La5 0.839 0.839 0.679
La6 0.632 0.423 0.263
La7 0.368 0.159 0.737
La8 0.000 0.719 0.000
Tb1 0.201 0.701 0.402
Tb2 0.799 0.299 0.598
Ce1 0.500 0.000 0.000
```


VASP calculation (PBE-GGA) on a relaxed GaTcPd2 crystal.

Calculated values
Spin magnetization: 2.16 μB per formula unit
Theoretical density: 10.23 g/cm3
E_form: 0 kJ per mole of atoms
SG: Fm-3m
Uncorrected energy: -23.78 eV per cell

Structure (CIF):
```
data_GaTcPd2
_chemical_formula_sum 'Ga1 Tc1 Pd2'
_space_group_name_H-M_alt 'P 1'
_space_group_IT_number 1
_cell_length_a 4.437
_cell_length_b 4.437
_cell_length_c 4.437
_cell_angle_alpha 60.00
_cell_angle_beta 60.00
_cell_angle_gamma 60.00
loop_
_space_group_symop_operation_xyz
'x,y,z'
loop_
_atom_site_label
_atom_site_fract_x
_atom_site_fract_y
_atom_site_fract_z
Ga1 0.000 0.000 0.000
Tc1 0.500 0.500 0.500
Pd1 0.250 0.250 0.250
Pd2 0.750 0.750 0.750
```


VASP calculation (PBE-GGA) on a relaxed Zr2AsBr crystal.

Calculated values
Spin magnetization: 0.00 μB per formula unit
Theoretical density: 6.43 g/cm3
SG: I-4m2
Uncorrected energy: -24.69 eV per cell

Structure (CIF):
```
data_Zr2AsBr
_chemical_formula_sum 'Zr2 As1 Br1'
_space_group_name_H-M_alt 'P 1'
_space_group_IT_number 1
_cell_length_a 6.516
_cell_length_b 6.516
_cell_length_c 6.516
_cell_angle_alpha 145.79
_cell_angle_beta 145.79
_cell_angle_gamma 49.16
loop_
_space_group_symop_operation_xyz
'x,y,z'
loop_
_atom_site_label
_atom_site_fract_x
_atom_site_fract_y
_atom_site_fract_z
As1 0.500 0.500 0.000
Br1 0.750 0.250 0.500
Zr1 0.000 0.000 0.000
Zr2 0.250 0.750 0.500
```


VASP calculation (PBE-GGA) on a relaxed NdErC crystal.

Calculated values
Spin magnetization: 0.19 μB per formula unit
Theoretical density: 7.42 g/cm3
E_form: -18 kJ per mole of atoms
SG: C2/m
Uncorrected energy: -38.23 eV per cell

Structure (CIF):
```
data_NdErC
_chemical_formula_sum 'Nd2 Er2 C2'
_space_group_name_H-M_alt 'P 1'
_space_group_IT_number 1
_cell_length_a 3.620
_cell_length_b 6.281
_cell_length_c 6.689
_cell_angle_alpha 98.35
_cell_angle_beta 105.70
_cell_angle_gamma 90.00
loop_
_space_group_symop_operation_xyz
'x,y,z'
loop_
_atom_site_label
_atom_site_fract_x
_atom_site_fract_y
_atom_site_fract_z
Nd1 0.386 0.632 0.771
Nd2 0.614 0.368 0.229
Er1 0.102 0.865 0.203
Er2 0.898 0.135 0.797
C1 0.000 0.500 0.000
C2 0.500 0.000 0.000
```


VASP calculation (PBE-GGA) on a relaxed Mo2OsRh crystal.

Calculated values
Spin magnetization: 0.00 μB per formula unit
Theoretical density: 13.43 g/cm3
E_form: 3 kJ per mole of atoms
SG: R-3m
Uncorrected energy: -40.14 eV per cell

Structure (CIF):
```
data_Mo2OsRh
_chemical_formula_sum 'Mo2 Os1 Rh1'
_space_group_name_H-M_alt 'P 1'
_space_group_IT_number 1
_cell_length_a 9.220
_cell_length_b 9.220
_cell_length_c 9.220
_cell_angle_alpha 17.23
_cell_angle_beta 17.23
_cell_angle_gamma 17.23
loop_
_space_group_symop_operation_xyz
'x,y,z'
loop_
_atom_site_label
_atom_site_fract_x
_atom_site_fract_y
_atom_site_fract_z
Mo1 0.000 0.000 0.000
Mo2 0.500 0.500 0.500
Os1 0.250 0.250 0.250
Rh1 0.750 0.750 0.750
```


VASP calculation (PBE-GGA) on a relaxed ReP crystal.

Calculated values
Spin magnetization: 0.00 μB per formula unit
Theoretical density: 12.95 g/cm3
E_form: 38 kJ per mole of atoms
SG: I4_1/amd
Uncorrected energy: -34.13 eV per cell

Structure (CIF):
```
data_ReP
_chemical_formula_sum 'Re2 P2'
_space_group_name_H-M_alt 'P 1'
_space_group_IT_number 1
_cell_length_a 4.642
_cell_length_b 4.642
_cell_length_c 4.642
_cell_angle_alpha 131.02
_cell_angle_beta 131.02
_cell_angle_gamma 71.78
loop_
_space_group_symop_operation_xyz
'x,y,z'
loop_
_atom_site_label
_atom_site_fract_x
_atom_site_fract_y
_atom_site_fract_z
Re1 0.500 0.500 0.000
Re2 0.250 0.750 0.500
P1 0.000 0.000 0.000
P2 0.750 0.250 0.500
```


VASP calculation (PBE-GGA) on a relaxed SrTmMgIn crystal.

Calculated values
Spin magnetization: 0.00 μB per formula unit
Theoretical density: 5.55 g/cm3
E_form: -21 kJ per mole of atoms
SG: F-43m
Uncorrected energy: -11.34 eV per cell

Structure (CIF):
```
data_SrTmMgIn
_chemical_formula_sum 'Sr1 Tm1 Mg1 In1'
_space_group_name_H-M_alt 'P 1'
_space_group_IT_number 1
_cell_length_a 5.511
_cell_length_b 5.511
_cell_length_c 5.511
_cell_angle_alpha 60.00
_cell_angle_beta 60.00
_cell_angle_gamma 60.00
loop_
_space_group_symop_operation_xyz
'x,y,z'
loop_
_atom_site_label
_atom_site_fract_x
_atom_site_fract_y
_atom_site_fract_z
Sr1 0.750 0.750 0.750
Mg1 0.500 0.500 0.500
Tm1 0.250 0.250 0.250
In1 0.000 0.000 0.000
```


VASP calculation (PBE-GGA) on a relaxed CaFe2Tc crystal.

Calculated values
Spin magnetization: 4.10 μB per formula unit
Theoretical density: 6.63 g/cm3
E_form: 52 kJ per mole of atoms
SG: Imm2
Uncorrected energy: -27.15 eV per cell

Structure (CIF):
```
data_CaFe2Tc
_chemical_formula_sum 'Ca1 Fe2 Tc1'
_space_group_name_H-M_alt 'P 1'
_space_group_IT_number 1
_cell_length_a 5.476
_cell_length_b 5.476
_cell_length_c 5.476
_cell_angle_alpha 150.29
_cell_angle_beta 129.18
_cell_angle_gamma 59.98
loop_
_space_group_symop_operation_xyz
'x,y,z'
loop_
_atom_site_label
_atom_site_fract_x
_atom_site_fract_y
_atom_site_fract_z
Ca1 0.247 0.747 0.500
Tc1 0.532 0.532 0.000
Fe1 0.967 0.967 0.000
Fe2 0.754 0.254 0.500
```


VASP calculation (PBE-GGA) on a relaxed U5AsP4 crystal.

Calculated values
Spin magnetization: 11.00 μB per formula unit
Theoretical density: 10.45 g/cm3
E_form: -88 kJ per mole of atoms
SG: Immm
Uncorrected energy: -91.81 eV per cell

Structure (CIF):
```
data_U5AsP4
_chemical_formula_sum 'U5 As1 P4'
_space_group_name_H-M_alt 'P 1'
_space_group_IT_number 1
_cell_length_a 3.960
_cell_length_b 5.612
_cell_length_c 10.510
_cell_angle_alpha 105.49
_cell_angle_beta 100.86
_cell_angle_gamma 90.00
loop_
_space_group_symop_operation_xyz
'x,y,z'
loop_
_atom_site_label
_atom_site_fract_x
_atom_site_fract_y
_atom_site_fract_z
U1 0.605 0.105 0.210
U2 0.801 0.301 0.602
U3 0.199 0.699 0.398
U4 0.000 0.500 0.000
U5 0.395 0.895 0.790
As1 0.000 0.000 0.000
P1 0.400 0.400 0.801
P2 0.798 0.798 0.595
P3 0.202 0.202 0.405
P4 0.600 0.600 0.199
```


VASP calculation (PBE-GGA) on a relaxed Y2Cd2Hg crystal.

Calculated values
Spin magnetization: 0.00 μB per formula unit
Theoretical density: 7.70 g/cm3
E_form: -28 kJ per mole of atoms
SG: P4/mbm
Uncorrected energy: -33.04 eV per cell

Structure (CIF):
```
data_Y2Cd2Hg
_chemical_formula_sum 'Y4 Cd4 Hg2'
_space_group_name_H-M_alt 'P 1'
_space_group_IT_number 1
_cell_length_a 7.650
_cell_length_b 7.650
_cell_length_c 4.445
_cell_angle_alpha 90.00
_cell_angle_beta 90.00
_cell_angle_gamma 90.00
loop_
_space_group_symop_operation_xyz
'x,y,z'
loop_
_atom_site_label
_atom_site_fract_x
_atom_site_fract_y
_atom_site_fract_z
Y1 0.169 0.669 0.500
Y2 0.669 0.831 0.500
Y3 0.831 0.331 0.500
Y4 0.331 0.169 0.500
Hg1 0.000 0.000 0.000
Hg2 0.500 0.500 0.000
Cd1 0.369 0.869 0.000
Cd2 0.869 0.631 0.000
Cd3 0.631 0.131 0.000
Cd4 0.131 0.369 0.000
```